Entry A
This record from the Alexandria database describes GaCoTe2N after structural relaxation. The functional is PBE.

Computed properties:
- DOS at the Fermi energy (states/eV/cell) = 6.4
- space-group type = No. 123

Lattice parameters (Å, degrees): 5.6769 5.6769 3.4670 90.00 90.00 90.00
Positions (direct):
Ga (0.0000, 0.0000, 0.0000)
Co (0.5000, 0.5000, 0.5000)
Te (0.0000, 0.5000, 0.0000)
Te (0.5000, 0.0000, 0.0000)
N (0.0000, 0.0000, 0.5000)



Entry B
This record from the Alexandria database describes GaCoTe2N after structural relaxation. The functional is PBE.

Computed properties:
- DOS at the Fermi energy (states/eV/cell) = 3.8
- space-group type = No. 123

Lattice parameters (Å, degrees): 5.4490 5.4490 3.3947 90.00 90.00 90.00
Positions (direct):
Ga (0.0000, 0.0000, 0.0000)
Co (0.5000, 0.5000, 0.5000)
Te (0.0000, 0.5000, 0.5000)
Te (0.5000, 0.0000, 0.5000)
N (0.5000, 0.5000, 0.0000)



Relative energies, kJ/mol of atoms: entry A 75.1; entry B 0.0.